[1]
The following is a DFT calculation (GGA-PBE) of Dy2TmZr after structural relaxation.

Computed properties:
Magnetization ... 11.27 μB/cell
Electronic total energy ... -5.35 eV/atom
Formation energy from the elements ... 0.20 eV per atom
E above lowest polymorph ... 130 meV per atom

Structure (CIF):
```
data_Dy2TmZr
_symmetry_space_group_name_H-M 'F m -3 m'
_symmetry_Int_Tables_number 225
_symmetry_space_group_name_Hall '-F 4 2 3'
_cell_length_a 7.746
_cell_length_b 7.746
_cell_length_c 7.746
_cell_angle_alpha 90.00
_cell_angle_beta 90.00
_cell_angle_gamma 90.00
loop_
_atom_site_label
_atom_site_type_symbol
_atom_site_fract_x
_atom_site_fract_y
_atom_site_fract_z
Dy1 Dy 0.250 0.250 0.250
Tm1 Tm 0.000 0.000 0.000
Zr1 Zr 0.000 0.000 0.500
```



[2]
The following is a DFT calculation (GGA-PBE) of Mg2HgBr after structural relaxation.

Computed properties:
Magnetization ... 0.00 μB/cell
Electronic total energy ... -1.67 eV/atom
E above lowest polymorph ... 113 meV per atom

Structure (CIF):
```
data_Mg2HgBr
_symmetry_space_group_name_H-M 'P 4/m m m'
_symmetry_Int_Tables_number 123
_symmetry_space_group_name_Hall '-P 4 2'
_cell_length_a 3.416
_cell_length_b 3.416
_cell_length_c 7.966
_cell_angle_alpha 90.00
_cell_angle_beta 90.00
_cell_angle_gamma 90.00
loop_
_atom_site_label
_atom_site_type_symbol
_atom_site_fract_x
_atom_site_fract_y
_atom_site_fract_z
Mg1 Mg 0.000 0.000 0.228
Hg1 Hg 0.500 0.500 0.000
Br1 Br 0.500 0.500 0.500
```



[3]
The following is a DFT calculation (GGA-PBE) of Rb2BaMnCl8 after structural relaxation.

Computed properties:
Magnetization ... 2.96 μB/cell
Electronic total energy ... -3.91 eV/atom

Structure (CIF):
```
data_Rb2BaMnCl8
_symmetry_space_group_name_H-M 'P 1 2/m 1'
_symmetry_Int_Tables_number 10
_cell_length_a 5.769
_cell_length_b 9.066
_cell_length_c 7.871
_cell_angle_alpha 90.00
_cell_angle_beta 106.50
_cell_angle_gamma 90.00
loop_
_symmetry_equiv_pos_as_xyz
'x,y,z'
'-x,-y,-z'
'-x,y,-z'
'x,-y,z'
loop_
_atom_site_label
_atom_site_type_symbol
_atom_site_fract_x
_atom_site_fract_y
_atom_site_fract_z
Rb1 Rb 0.000 0.236 0.000
Ba1 Ba 0.500 0.500 0.500
Mn1 Mn 0.500 0.000 0.500
Cl1 Cl 0.028 0.500 0.740
Cl2 Cl 0.114 0.000 0.331
Cl3 Cl 0.422 0.185 0.682
```